(1)
Co2ReP, optimized geometry, DFT PBE-GGA; formation energy from the elements = -6 kJ per mole of atoms; total energy = -32.3 eV/f.u.; magnetization = 0.01 μB per atom
1.0
3.7174 0.0000 0.0000
0.0000 2.7123 -0.0019
0.0000 1.3285 4.7004
Co P Re
2 1 1
Direct
0.0000 0.3723 0.4868
0.0000 0.1277 0.0132
0.5000 0.2500 0.2500
0.5000 0.7500 0.7500

=====

(2)
CoReP2, optimized geometry, DFT PBE-GGA; formation energy from the elements = 4 kJ per mole of atoms; total energy = -30.2 eV/f.u.; magnetization = 0.21 μB per atom
1.0
-2.5369 -0.7032 -1.0382
0.4930 -2.7137 0.6331
-2.9992 1.0059 6.6472
Re Co P
1 1 2
Direct
0.0000 0.0000 0.5110
0.5000 0.5000 0.7578
0.5000 0.5000 0.3143
0.0000 0.0000 0.9169

=====

Please write out number 1 again, unchanged.
Co2ReP, optimized geometry, DFT PBE-GGA; formation energy from the elements = -6 kJ per mole of atoms; total energy = -32.3 eV/f.u.; magnetization = 0.01 μB per atom
1.0
3.7174 0.0000 0.0000
0.0000 2.7123 -0.0019
0.0000 1.3285 4.7004
Co P Re
2 1 1
Direct
0.0000 0.3723 0.4868
0.0000 0.1277 0.0132
0.5000 0.2500 0.2500
0.5000 0.7500 0.7500

=====

What is the total energy in the second record? -30.2 eV/f.u.